Record 1
The following is a PBE-GGA calculation of a relaxed KO3F2 crystal, from Alexandria.

abc: 5.3310 5.3310 7.8604
angles: 110.24 110.24 83.29
With the nearest neighbours (Å) after each atom.
Sites, in units of the cell vectors:
K 0.1401 0.8599 0.7500  6 F 2.74-2.81
K 0.8599 0.1401 0.2500  6 F 2.74-2.81
O 0.3412 0.4417 0.0959  1 O 1.31
O 0.3530 0.6470 0.2500  2 O 1.31
O 0.4417 0.3412 0.5959  1 O 1.31
O 0.5583 0.6588 0.4041  1 O 1.31
O 0.6470 0.3530 0.7500  2 O 1.31
O 0.6588 0.5583 0.9041  1 O 1.31
F 0.1096 0.3016 0.6407  1 O 1.97
F 0.3016 0.1096 0.1407  1 O 1.97
F 0.6984 0.8904 0.8593  1 O 1.97
F 0.8904 0.6984 0.3593  1 O 1.97

Results
The value obtained for the formation energy without anion corrections is -713 meV/atom. For the energy, the calculation gives -3.998 eV/atom. For the volume, the calculation gives 16.4 A^3/atom. Its space group is No. 15. The crystal system is monoclinic.

Record 2
The following is a PBE-GGA calculation of a relaxed KOF2 crystal, from Alexandria.

abc: 6.3277 6.3277 6.3277
angles: 36.59 36.59 36.59
With the nearest neighbours (Å) after each atom.
Sites, in units of the cell vectors:
K 0.0000 0.0000 0.0000  6 F 2.61
O 0.5000 0.5000 0.5000  2 F 1.70
F 0.4038 0.4038 0.4038  1 O 1.70
F 0.5962 0.5962 0.5962  1 O 1.70

Results
The value obtained for the formation energy without anion corrections is -1002 meV/atom. For the energy, the calculation gives -3.452 eV/atom. For the volume, the calculation gives 20.2 A^3/atom. Its space group is No. 166. Its excess energy over the best structure of this formula in the dataset is 0.0 meV/atom. The crystal system is trigonal.

Record 3
The following is a PBE-GGA calculation of a relaxed K8O4F crystal, from Alexandria.

abc: 7.4125 7.4125 9.1805
angles: 123.24 123.24 65.85
With the nearest neighbours (Å) after each atom.
Sites, in units of the cell vectors:
K 0.0020 0.4445 0.6588  3 O 2.62-2.76, 1 F 2.78
K 0.0165 0.0165 0.1996  3 O 2.63-2.68, 1 F 2.90
K 0.4445 0.0020 0.6588  3 O 2.62-2.76, 1 F 2.78
K 0.4711 0.4711 0.1637  3 O 2.53-2.64
K 0.5289 0.5289 0.8363  3 O 2.53-2.64
K 0.5555 0.9980 0.3412  3 O 2.62-2.76, 1 F 2.78
K 0.9835 0.9835 0.8004  3 O 2.63-2.68, 1 F 2.90
K 0.9980 0.5555 0.3412  3 O 2.62-2.76, 1 F 2.78
O 0.2563 0.7437 0.0000  6 K 2.64-2.76
O 0.2899 0.2899 0.4997  6 K 2.53-2.75
O 0.7101 0.7101 0.5003  6 K 2.53-2.75
O 0.7437 0.2563 0.0000  6 K 2.64-2.76
F 0.0000 0.0000 0.5000  6 K 2.78-2.90

Results
The value obtained for the formation energy without anion corrections is -1223 meV/atom. For the energy, the calculation gives -3.568 eV/atom. For the volume, the calculation gives 26.8 A^3/atom. Its space group is No. 12. The crystal system is monoclinic.

Record 4
The following is a PBE-GGA calculation of a relaxed KO2F2 crystal, from Alexandria.

abc: 4.0327 4.0327 6.7508
angles: 90.33 90.33 61.19
With the nearest neighbours (Å) after each atom.
Sites, in units of the cell vectors:
K 0.0000 0.0000 0.0000  6 F 2.67-2.69
O 0.4151 0.4151 0.4826  1 O 1.20
O 0.5849 0.5849 0.5174  1 O 1.20
F 0.3364 0.3364 0.1945  1 O 2.02
F 0.6636 0.6636 0.8055  1 O 2.02

Results
The value obtained for the formation energy without anion corrections is -1154 meV/atom. For the energy, the calculation gives -4.105 eV/atom. For the volume, the calculation gives 19.2 A^3/atom. Its space group is No. 12. Its excess energy over the best structure of this formula in the dataset is 0.0 meV/atom. The crystal system is monoclinic.

Record 5
The following is a PBE-GGA calculation of a relaxed K6OF4 crystal, from Alexandria.

abc: 7.8813 7.8813 7.8813
angles: 90.97 90.97 90.97
With the nearest neighbours (Å) after each atom.
Sites, in units of the cell vectors:
K 0.0411 0.9366 0.6926  1 O 2.49, 2 F 2.74-2.75
K 0.0634 0.3074 0.9589  1 O 2.49, 2 F 2.74-2.75
K 0.1926 0.4366 0.5411  1 O 2.49, 2 F 2.74-2.75
K 0.3074 0.9589 0.0634  1 O 2.49, 2 F 2.74-2.75
K 0.4366 0.5411 0.1926  1 O 2.49, 2 F 2.74-2.75
K 0.4589 0.8074 0.5634  1 O 2.49, 2 F 2.74-2.75
K 0.5411 0.1926 0.4366  1 O 2.49, 2 F 2.74-2.75
K 0.5634 0.4589 0.8074  1 O 2.49, 2 F 2.74-2.75
K 0.6926 0.0411 0.9366  1 O 2.49, 2 F 2.74-2.75
K 0.8074 0.5634 0.4589  1 O 2.49, 2 F 2.74-2.75
K 0.9366 0.6926 0.0411  1 O 2.49, 2 F 2.74-2.75
K 0.9589 0.0634 0.3074  1 O 2.49, 2 F 2.74-2.75
O 0.0000 0.0000 0.0000  6 K 2.49
O 0.5000 0.5000 0.5000  6 K 2.49
F 0.0970 0.7500 0.4030  4 K 2.74-2.82
F 0.2500 0.2500 0.2500  6 K 2.75
F 0.2500 0.5970 0.9030  4 K 2.74-2.82
F 0.4030 0.0970 0.7500  4 K 2.74-2.82
F 0.5970 0.9030 0.2500  4 K 2.74-2.82
F 0.7500 0.4030 0.0970  4 K 2.74-2.82
F 0.7500 0.7500 0.7500  6 K 2.75
F 0.9030 0.2500 0.5970  4 K 2.74-2.82

Results
The value obtained for the formation energy without anion corrections is -2167 meV/atom. For the energy, the calculation gives -3.896 eV/atom. For the volume, the calculation gives 22.2 A^3/atom. Its space group is No. 167. The crystal system is trigonal.

Record 6
The following is a PBE-GGA calculation of a relaxed KO2F2 crystal, from Alexandria.

abc: 3.8213 3.8213 5.6536
angles: 90.00 90.00 90.00
With the nearest neighbours (Å) after each atom.
Sites, in units of the cell vectors:
K 0.0000 0.0000 0.0000  4 F 2.70
O 0.0000 0.5000 0.5000  2 F 1.91
O 0.5000 0.0000 0.5000  2 F 1.91
F 0.5000 0.5000 0.0000  4 K 2.70, 2 F 2.83
F 0.5000 0.5000 0.5000  4 O 1.91

Results
The value obtained for the formation energy without anion corrections is 28 meV/atom. For the energy, the calculation gives -2.923 eV/atom. For the volume, the calculation gives 16.5 A^3/atom. Its space group is No. 123. Its excess energy over the best structure of this formula in the dataset is 1182.3 meV/atom. The crystal system is tetragonal.

Record 7
The following is a PBE-GGA calculation of a relaxed KO4F3 crystal, from Alexandria.

abc: 3.8194 3.9173 9.2101
angles: 78.49 84.65 87.65
With the nearest neighbours (Å) after each atom.
Sites, in units of the cell vectors:
K 0.0000 0.0000 0.0000  6 F 2.68-2.79
O 0.3021 0.4688 0.2663  1 O 1.20
O 0.4319 0.3125 0.3747  1 O 1.20
O 0.5681 0.6875 0.6253  1 O 1.20
O 0.6979 0.5312 0.7337  1 O 1.20
F 0.0130 0.2044 0.6953  1 O 1.79
F 0.5000 0.5000 0.0000  2 O 2.48, 2 K 2.68
F 0.9870 0.7956 0.3047  1 O 1.79

Results
The value obtained for the formation energy without anion corrections is -737 meV/atom. For the energy, the calculation gives -4.055 eV/atom. For the volume, the calculation gives 16.8 A^3/atom. Its space group is No. 2. The crystal system is triclinic.

Record 8
The following is a PBE-GGA calculation of a relaxed K8O3F2 crystal, from Alexandria.

abc: 7.5772 7.5772 6.9462
angles: 100.67 100.67 62.90
With the nearest neighbours (Å) after each atom.
Sites, in units of the cell vectors:
K 0.0960 0.0960 0.3658  3 O 2.57-2.64
K 0.0988 0.6598 0.1340  2 O 2.63-2.69, 2 F 2.78-2.79
K 0.3402 0.9012 0.8660  2 O 2.63-2.69, 2 F 2.78-2.79
K 0.4002 0.4002 0.6250  2 O 2.58, 1 F 2.68
K 0.5998 0.5998 0.3750  2 O 2.58, 1 F 2.68
K 0.6598 0.0988 0.1340  2 O 2.63-2.69, 2 F 2.78-2.79
K 0.9012 0.3402 0.8660  2 O 2.63-2.69, 2 F 2.78-2.79
K 0.9040 0.9040 0.6342  3 O 2.57-2.64
O 0.0000 0.0000 0.0000  6 K 2.57-2.63
O 0.2549 0.7451 0.5000  6 K 2.58-2.69
O 0.7451 0.2549 0.5000  6 K 2.58-2.69
F 0.2933 0.2933 0.9154  5 K 2.68-2.79
F 0.7067 0.7067 0.0846  5 K 2.68-2.79

Results
The value obtained for the formation energy without anion corrections is -1501 meV/atom. For the energy, the calculation gives -3.609 eV/atom. For the volume, the calculation gives 26.7 A^3/atom. Its space group is No. 12. The crystal system is monoclinic.

Look up the formation energy without anion corrections of the fourth one.
-1154 meV/atom